Entry 1:
Below is a relaxed structure of Sr2InPdO5, with properties calculated at the PBE level.

Results
As for the formation energy without anion corrections: -1.7193 eV/atom. The volume comes out at 134.3 Å³/f.u.

Unit cell a=3.5529 b=13.6403 c=11.0827 alpha=90.00 beta=90.00 gamma=90.00
Space group Cmc2_1 (No. 36)
Symmetry-distinct sites (fractional):
Sr1 0.0000 0.0971 0.0000 (multiplicity 4)
Sr2 0.0000 0.1435 0.6294 (multiplicity 4)
In1 0.0000 0.4552 0.7878 (multiplicity 4)
Pd1 0.0000 0.2269 0.3651 (multiplicity 4)
O1 0.0000 0.0739 0.3869 (multiplicity 4)
O2 0.0000 0.2717 0.9910 (multiplicity 4)
O3 0.0000 0.2960 0.7513 (multiplicity 4)
O4 0.0000 0.3814 0.3355 (multiplicity 4)
O5 0.0000 0.4992 0.1108 (multiplicity 4)



Entry 2:
Below is a relaxed structure of VTeMo2, with properties calculated at the PBE level.

Results
As for the formation energy without anion corrections: 0.6499 eV/atom. The volume comes out at 72.5 Å³/f.u.

Unit cell a=3.8372 b=3.8372 c=19.7033 alpha=90.00 beta=90.00 gamma=90.00
Space group I-42d (No. 122)
Symmetry-distinct sites (fractional):
V1 0.0000 0.0000 0.0000 (multiplicity 4)
Te1 0.0000 0.0000 0.5000 (multiplicity 4)
Mo1 0.2464 0.2500 0.1250 (multiplicity 8)



Entry 3:
Below is a relaxed structure of SrThPdAu, with properties calculated at the PBE level.

Results
For the raw total energy, the calculation gives -4.953 eV/atom. The volume comes out at 102.1 Å³/f.u.

Unit cell a=7.4188 b=7.4188 c=7.4188 alpha=90.00 beta=90.00 gamma=90.00
Space group F-43m (No. 216)
Symmetry-distinct sites (fractional):
Sr1 0.0000 0.0000 0.0000 (multiplicity 4)
Th1 0.0000 0.0000 0.5000 (multiplicity 4)
Pd1 0.2500 0.2500 0.7500 (multiplicity 4)
Au1 0.2500 0.2500 0.2500 (multiplicity 4)



Entry 4:
Below is a relaxed structure of VGaPd2, with properties calculated at the PBE level.

Results
For the raw total energy, the calculation gives -5.644 eV/atom. The volume comes out at 64.0 Å³/f.u.

Unit cell a=3.8328 b=3.8328 c=17.4335 alpha=90.00 beta=90.00 gamma=90.00
Space group I-42d (No. 122)
Symmetry-distinct sites (fractional):
V1 0.0000 0.0000 0.0000 (multiplicity 4)
Ga1 0.0000 0.0000 0.5000 (multiplicity 4)
Pd1 0.2501 0.2500 0.1250 (multiplicity 8)



Entry 5:
Below is a relaxed structure of MgZnTcRu, with properties calculated at the PBE level.

Results
For the raw total energy, the calculation gives -5.600 eV/atom. The volume comes out at 58.8 Å³/f.u.

Unit cell a=6.1716 b=6.1716 c=6.1716 alpha=90.00 beta=90.00 gamma=90.00
Space group F-43m (No. 216)
Symmetry-distinct sites (fractional):
Mg1 0.0000 0.0000 0.0000 (multiplicity 4)
Zn1 0.2500 0.2500 0.7500 (multiplicity 4)
Tc1 0.0000 0.0000 0.5000 (multiplicity 4)
Ru1 0.2500 0.2500 0.2500 (multiplicity 4)



Entry 6:
Below is a relaxed structure of TcIr2Rh, with properties calculated at the PBE level.

Results
For the energy above the most stable polymorph in this dataset, the calculation gives 28 meV per atom. The volume comes out at 57.6 Å³/f.u.

Unit cell a=3.8680 b=3.8680 c=7.7001 alpha=90.00 beta=90.00 gamma=90.00
Space group I4/mmm (No. 139)
Symmetry-distinct sites (fractional):
Tc1 0.0000 0.0000 0.0000 (multiplicity 2)
Ir1 0.0000 0.5000 0.2500 (multiplicity 4)
Rh1 0.0000 0.0000 0.5000 (multiplicity 2)



Entry 7:
Below is a relaxed structure of Sr8TlAu2, with properties calculated at the PBE level.

Results
For the raw total energy, the calculation gives -2.381 eV/atom. The volume comes out at 445.0 Å³/f.u.

Unit cell a=10.0203 b=14.6835 c=6.2475 alpha=90.00 beta=104.48 gamma=90.00
Space group Cm (No. 8)
Symmetry-distinct sites (fractional):
Sr1 0.0000 0.0000 0.0000 (multiplicity 2)
Sr2 0.0699 0.3689 0.7822 (multiplicity 4)
Sr3 0.1766 0.1311 0.6075 (multiplicity 4)
Sr4 0.2463 0.5000 0.3901 (multiplicity 2)
Sr5 0.3732 0.2400 0.1950 (multiplicity 4)
Tl1 0.3729 0.0000 0.1983 (multiplicity 2)
Au1 0.3733 0.3144 0.6950 (multiplicity 4)



Entry 8:
Below is a relaxed structure of Th6AgRh2C3, with properties calculated at the PBE level.

Results
For the raw total energy, the calculation gives -7.829 eV/atom. The volume comes out at 262.5 Å³/f.u.

Unit cell a=18.5105 b=3.7999 c=8.1812 alpha=90.00 beta=114.17 gamma=90.00
Space group C2/m (No. 12)
Symmetry-distinct sites (fractional):
Th1 0.0249 0.0000 0.2251 (multiplicity 4)
Th2 0.1622 0.5000 0.0690 (multiplicity 4)
Th3 0.1808 0.5000 0.5581 (multiplicity 4)
Ag1 0.0000 0.5000 0.5000 (multiplicity 2)
Rh1 0.1423 0.0000 0.7786 (multiplicity 4)
C1 0.0000 0.5000 0.0000 (multiplicity 2)
C2 0.1713 0.0000 0.3090 (multiplicity 4)



Entry 9:
Below is a relaxed structure of LiPaCuSe3, with properties calculated at the PBE level.

Results
As for the formation energy without anion corrections: -1.0454 eV/atom. The volume comes out at 130.5 Å³/f.u.

Unit cell a=8.0317 b=3.8405 c=8.6628 alpha=90.00 beta=102.33 gamma=90.00
Space group P2_1/m (No. 11)
Symmetry-distinct sites (fractional):
Li1 0.1498 0.2500 0.1532 (multiplicity 2)
Pa1 0.3182 0.7500 0.7653 (multiplicity 2)
Cu1 0.4200 0.7500 0.4170 (multiplicity 2)
Se1 0.0857 0.2500 0.8388 (multiplicity 2)
Se2 0.2571 0.2500 0.4919 (multiplicity 2)
Se3 0.4069 0.7500 0.1329 (multiplicity 2)



Entry 10:
Below is a relaxed structure of CaOsPt2, with properties calculated at the PBE level.

Results
For the energy above the most stable polymorph in this dataset, the calculation gives 181 meV per atom. The volume comes out at 70.7 Å³/f.u.

Unit cell a=2.7750 b=4.2337 c=6.0155 alpha=90.00 beta=90.00 gamma=90.00
Space group Pmm2 (No. 25)
Symmetry-distinct sites (fractional):
Ca1 0.0000 0.0000 0.0000 (multiplicity 1)
Os1 0.5000 0.5000 0.3213 (multiplicity 1)
Pt1 0.0000 0.0000 0.4770 (multiplicity 1)
Pt2 0.5000 0.5000 0.7576 (multiplicity 1)



Entry 11:
Below is a relaxed structure of YAs, with properties calculated at the PBE level.

Results
For the raw total energy, the calculation gives -6.614 eV/atom. The volume comes out at 46.0 Å³/f.u.

Unit cell a=3.5841 b=3.5841 c=3.5841 alpha=90.00 beta=90.00 gamma=90.00
Space group Pm-3m (No. 221)
Symmetry-distinct sites (fractional):
Y1 0.0000 0.0000 0.0000 (multiplicity 1)
As1 0.5000 0.5000 0.5000 (multiplicity 1)



Entry 12:
Below is a relaxed structure of Sr2MgCu, with properties calculated at the PBE level.

Results
For the raw total energy, the calculation gives -2.233 eV/atom. The volume comes out at 126.9 Å³/f.u.

Unit cell a=13.2302 b=3.7255 c=5.7022 alpha=90.00 beta=115.47 gamma=90.00
Space group Cm (No. 8)
Symmetry-distinct sites (fractional):
Sr1 0.0000 0.0000 0.0000 (multiplicity 2)
Sr2 0.1963 0.0000 0.6960 (multiplicity 2)
Mg1 0.3923 0.0000 0.3923 (multiplicity 2)
Cu1 0.2238 0.5000 0.2242 (multiplicity 2)



| no. | Fermi-level density of states (states/eV/atom) |
| --- | --- |
| 1 | 0.38 |
| 2 | 1.18 |
| 3 | 0.69 |
| 4 | 0.92 |
| 5 | 0.72 |
| 6 | 1.36 |
| 7 | 0.86 |
| 8 | 0.70 |
| 9 | 0.55 |
| 10 | 0.88 |
| 11 | 0.56 |
| 12 | 0.88 |